Entry from Alexandria: a PBEsol-optimized structure of MgRe2Tc (meta-GGA SCAN).

space-group type	No. 216
calculated volume	14.62	Å³ per atom
calculated density	14.05	g cm⁻³
Fermi-level density of states	2.39	states/eV per cell
ΔE_f	0.39	eV per formula unit
spin magnetization	0.00	μB per cell
electronic total energy	-45.460	eV per atom

The structure in extended XYZ format:
```
4
Lattice="-1.5693 -3.7431 -1.5834 2.6653 -2.8072 -1.9990 1.0227 -3.7756 1.9182" Properties=species:S:1:pos:R:3 pbc="T T T"
Mg 1.5891 -7.7445 -1.2481
Re 0.5297 -2.5815 -0.4160
Re 0.0000 0.0000 0.0000
Tc 1.0594 -5.1630 -0.8320
```